No. 1
The following is a DFT calculation (GGA-PBE) of a geometry-optimized TbZrIr2 structure.

a = 3.350 Å, b = 3.350 Å, c = 6.906 Å
α = 90.00°, β = 90.00°, γ = 90.00°
Atoms (fractional coordinates):
Ir (0.000, 0.000, 0.774)
Ir (0.000, 0.000, 0.226)
Tb (0.500, 0.500, 0.500)
Zr (0.500, 0.500, 0.000)

Values from the calculation:
E in eV/cell: -34.10
Theoretical density in Mg/m³: 13.60
ΔE_f in eV per atom: -0.80
M_tot in μB/atom: 0.00
Space group: P4/mmm, No. 123

***

No. 2
The following is a DFT calculation (GGA-PBE) of a geometry-optimized ScGeSeS structure.

a = 3.401 Å, b = 3.666 Å, c = 14.736 Å
α = 90.00°, β = 91.67°, γ = 90.00°
Atoms (fractional coordinates):
Sc (0.935, 0.000, 0.035)
Sc (0.935, 0.500, 0.535)
Ge (0.415, 0.000, 0.271)
Ge (0.415, 0.500, 0.771)
S (0.442, 0.000, 0.588)
S (0.442, 0.500, 0.088)
Se (0.418, 0.000, 0.891)
Se (0.418, 0.500, 0.391)

Values from the calculation:
E in eV/cell: -44.78
Theoretical density in Mg/m³: 4.13
Uncorrected formation energy in eV/atom: -0.96
M_tot in μB/atom: 0.00
Space group: Cm, No. 8
Distance to the lowest polymorph of the same formula in meV/atom: 0